Computed, not measured: crystalline Ba2Os at its relaxed geometry at the PBE-GGA level of DFT.

Properties
Its calculated density is 7.91 Mg/m³. As for the density of states at the Fermi level: 6.76 states/eV per cell. As for the total energy: -4.32 eV per atom.

Unit cell a=8.3551 b=8.3551 c=4.8445 alpha=90.00 beta=90.00 gamma=120.00
Closest atoms and distances in Å follow each position.
Space group P-62m (No. 189)
Inequivalent atoms, fractional coordinates:
Ba: 0.0000 0.2630 0.0000 x3  4 Os 3.12-3.27
Ba: 0.0000 0.5976 0.5000 x3  5 Os 3.36-3.51, 2 Ba 3.70
Os: 0.0000 0.0000 0.5000 x1  9 Ba 3.27-3.36
Os: 0.3333 0.6667 0.0000 x2  3 Ba 3.12